Entry 1:
Computed, not measured: Ta2SbPb after structural relaxation at the GGA-PBE level of DFT.

Formation energy from raw total energies in eV per atom: 0.512
Calculated density in kg/m3: 13130
Total moment in Bohr magnetons per cell: 0.000
Crystal system: monoclinic

a b c (Å): 4.4133 3.1507 6.3970
angles (deg): 79.20 90.00 90.00
Positions (direct):
Pb  0.5000  0.2500  0.2500
Sb  0.5000  0.7500  0.7500
Ta  0.0000  0.0377  0.9590
Ta  0.0000  0.4623  0.5410

---

Entry 2:
Computed, not measured: TaSb2Pb after structural relaxation at the GGA-PBE level of DFT.

Formation energy from raw total energies in eV per atom: 0.228
Calculated density in kg/m3: 9552
Total moment in Bohr magnetons per cell: 0.000
Crystal system: orthorhombic

a b c (Å): 8.2355 8.2355 8.2355
angles (deg): 154.84 152.41 37.68
Positions (direct):
Pb  0.3058  0.8058  0.5000
Sb  0.9732  0.9732  0.0000
Sb  0.6785  0.1785  0.5000
Ta  0.5424  0.5424  0.0000

---

Entry 3:
Computed, not measured: TaSbPb after structural relaxation at the GGA-PBE level of DFT.

Formation energy from raw total energies in eV per atom: 0.288
Calculated density in kg/m3: 10730
Total moment in Bohr magnetons per cell: 0.000
Crystal system: tetragonal

a b c (Å): 8.5024 8.5024 8.5024
angles (deg): 159.00 159.00 29.87
Positions (direct):
Pb  0.0274  0.0274  0.0000
Sb  0.3007  0.3007  0.0000
Ta  0.6720  0.6720  0.0000

---

Entry 4:
Computed, not measured: TaSb2Pb after structural relaxation at the GGA-PBE level of DFT.

Formation energy from raw total energies in eV per atom: 0.210
Calculated density in kg/m3: 9599
Total moment in Bohr magnetons per cell: 0.000
Crystal system: monoclinic

a b c (Å): 5.4236 5.4236 7.2517
angles (deg): 69.16 69.16 33.49
Positions (direct):
Pb  0.1716  0.1716  0.2448
Sb  0.9797  0.9797  0.9999
Sb  0.8135  0.8135  0.6139
Ta  0.5352  0.5352  0.6414

---

Entry 5:
Computed, not measured: Ta2SbPb after structural relaxation at the GGA-PBE level of DFT.

Formation energy from raw total energies in eV per atom: 0.505
Calculated density in kg/m3: 13662
Total moment in Bohr magnetons per cell: 0.000
Crystal system: trigonal

a b c (Å): 9.4904 9.4904 9.4904
angles (deg): 19.58 19.58 19.58
Positions (direct):
Pb  0.2500  0.2500  0.2500
Sb  0.7500  0.7500  0.7500
Ta  0.0034  0.0034  0.0034
Ta  0.4966  0.4966  0.4966

---

Entry 6:
Computed, not measured: TaSbPb after structural relaxation at the GGA-PBE level of DFT.

Formation energy from raw total energies in eV per atom: 0.430
Calculated density in kg/m3: 12055
Total moment in Bohr magnetons per cell: 0.000
Crystal system: hexagonal

a b c (Å): 5.0935 5.0935 3.1262
angles (deg): 90.00 90.00 120.00
Positions (direct):
Pb  0.0000  0.0000  0.9996
Sb  0.3333  0.6667  0.5003
Ta  0.6667  0.3333  0.5000

---

Entry 7:
Computed, not measured: Ta2SbPb after structural relaxation at the GGA-PBE level of DFT.

Formation energy from raw total energies in eV per atom: 0.366
Calculated density in kg/m3: 13354
Total moment in Bohr magnetons per cell: 0.000
Crystal system: monoclinic

a b c (Å): 5.4091 5.4091 5.2445
angles (deg): 72.90 72.90 36.06
Positions (direct):
Pb  0.4859  0.4859  0.5515
Sb  0.2679  0.2679  0.1888
Ta  0.0166  0.0166  0.0279
Ta  0.7296  0.7296  0.7317

---

Entry 8:
Computed, not measured: TaSb2Pb after structural relaxation at the GGA-PBE level of DFT.

Formation energy from raw total energies in eV per atom: 0.336
Calculated density in kg/m3: 9255
Total moment in Bohr magnetons per cell: 0.000
Crystal system: tetragonal

a b c (Å): 3.0448 3.0448 12.2254
angles (deg): 90.00 90.00 90.00
Positions (direct):
Pb  0.5000  0.5000  0.6936
Sb  0.0000  0.0000  0.9979
Sb  0.5000  0.5000  0.3159
Ta  0.0000  0.0000  0.4925

---

Entry 9:
Computed, not measured: Ta2SbPb after structural relaxation at the GGA-PBE level of DFT.

Formation energy from raw total energies in eV per atom: 0.554
Calculated density in kg/m3: 13540
Total moment in Bohr magnetons per cell: 0.000
Crystal system: monoclinic

a b c (Å): 5.5258 5.9847 3.1570
angles (deg): 79.80 79.06 119.40
Positions (direct):
Pb  0.5000  0.5000  0.0000
Sb  0.5000  0.0000  0.5000
Ta  0.0000  0.0000  0.0000
Ta  0.0000  0.5000  0.5000

---

Entry 10:
Computed, not measured: Ta2SbPb after structural relaxation at the GGA-PBE level of DFT.

Formation energy from raw total energies in eV per atom: 0.471
Calculated density in kg/m3: 13988
Total moment in Bohr magnetons per cell: 0.000
Crystal system: tetragonal

a b c (Å): 4.8744 4.8744 3.4518
angles (deg): 90.00 90.00 89.97
Positions (direct):
Pb  0.5000  0.0000  0.5000
Sb  0.0000  0.5000  0.5000
Ta  0.0000  0.0000  0.0000
Ta  0.5000  0.5000  0.0000

---

Entry 11:
Computed, not measured: Ta2SbPb after structural relaxation at the GGA-PBE level of DFT.

Formation energy from raw total energies in eV per atom: 0.639
Calculated density in kg/m3: 13235
Total moment in Bohr magnetons per cell: 0.001
Crystal system: cubic

a b c (Å): 4.9675 4.9675 4.9675
angles (deg): 60.00 60.00 60.00
Positions (direct):
Pb  0.5000  0.5000  0.5000
Sb  0.2500  0.2500  0.2500
Ta  0.0000  0.0000  0.0000
Ta  0.7500  0.7500  0.7500

---

Entry 12:
Computed, not measured: TaSb2Pb after structural relaxation at the GGA-PBE level of DFT.

Formation energy from raw total energies in eV per atom: 0.093
Calculated density in kg/m3: 10580
Total moment in Bohr magnetons per cell: 0.000
Crystal system: monoclinic

a b c (Å): 3.4875 3.5128 8.8543
angles (deg): 66.06 90.00 90.00
Positions (direct):
Pb  0.5000  0.7500  0.7500
Sb  0.0000  0.9518  0.0512
Sb  0.0000  0.5482  0.4488
Ta  0.5000  0.2500  0.2500